# Sr3Zn2Au3 PBE relaxed
data_Sr3Zn2Au3
_space_group_name_H-M_alt 'P 1'
_space_group_IT_number 1
_cell_length_a 6.151
_cell_length_b 6.151
_cell_length_c 15.752
_cell_angle_alpha 90.00
_cell_angle_beta 90.00
_cell_angle_gamma 135.65
loop_
_space_group_symop_operation_xyz
'x,y,z'
loop_
_atom_site_label
_atom_site_type_symbol
_atom_site_fract_x
_atom_site_fract_y
_atom_site_fract_z
Sr1 Sr 0.089 0.911 0.395
Sr2 Sr 0.911 0.089 0.895
Sr3 Sr 0.089 0.911 0.105
Sr4 Sr 0.911 0.089 0.605
Sr5 Sr 0.375 0.625 0.250
Sr6 Sr 0.625 0.375 0.750
Zn1 Zn 0.209 0.791 0.904
Zn2 Zn 0.791 0.209 0.404
Zn3 Zn 0.209 0.791 0.596
Zn4 Zn 0.791 0.209 0.096
Au1 Au 0.380 0.620 0.458
Au2 Au 0.620 0.380 0.958
Au3 Au 0.380 0.620 0.042
Au4 Au 0.620 0.380 0.542
Au5 Au 0.674 0.326 0.250
Au6 Au 0.326 0.674 0.750
# Space-group type: No. 63
# Energy of formation, eV/atom: -0.62
# Size of the total moment, μB per cell: 0.0
# Volume, Å³/f.u.: 208.32
# E_tot, eV/atom: -2.802



# SrZnAu PBE relaxed
data_SrZnAu
_space_group_name_H-M_alt 'P 1'
_space_group_IT_number 1
_cell_length_a 4.951
_cell_length_b 4.951
_cell_length_c 4.951
_cell_angle_alpha 60.00
_cell_angle_beta 60.00
_cell_angle_gamma 60.00
loop_
_space_group_symop_operation_xyz
'x,y,z'
loop_
_atom_site_label
_atom_site_type_symbol
_atom_site_fract_x
_atom_site_fract_y
_atom_site_fract_z
Au1 Au 0.250 0.250 0.250
Sr1 Sr 0.000 0.000 0.000
Zn1 Zn 0.500 0.500 0.500
# Space-group type: No. 216
# Energy of formation, eV/atom: -0.39
# Size of the total moment, μB per cell: 0.0
# Volume, Å³/f.u.: 85.79
# E_tot, eV/atom: -2.467



What is the formula in the first record?
Sr3Zn2Au3